VASP calculation (PBE) on crystalline RbLiH2 at its relaxed geometry.

abc: 3.5436 3.5436 18.2193
angles: 90.00 90.00 120.00
Space group R-3m (No. 166, hexagonal axes)
Asymmetric unit:
1 Rb 0.0000 0.0000 0.0000 [3 per cell]
2 Li 0.0000 0.0000 0.5000 [3 per cell]
3 H 0.0000 0.0000 0.2276 [6 per cell]

DFT total energy: -29.86 eV/cell
Relative energy among the computed polymorphs: 60 kJ/mol of formula units
Magnetization: 0.0 μB per cell

VASP calculation (PBE) on crystalline Dy2RuRh at its relaxed geometry.

abc: 3.412 3.412 6.804
angles: 90.00 90.00 90.00
Space group P4/mmm (No. 123)
Asymmetric unit:
1 Dy 0.000 0.000 0.246 [2 per cell]
2 Ru 0.500 0.500 0.000 [1 per cell]
3 Rh 0.500 0.500 0.500 [1 per cell]

DFT total energy: -28.36 eV/cell
Formation enthalpy at 0 K: -0.632 eV per atom
Magnetization: 0.0 μB per cell

VASP calculation (PBE) on crystalline Ni5Ge at its relaxed geometry.

abc: 7.831 3.587 5.025
angles: 90.00 107.24 90.00
Space group C2/m (No. 12)
Asymmetric unit:
1 Ni 0.000 0.000 0.000 [2 per cell]
2 Ni 0.166 0.500 0.837 [4 per cell]
3 Ni 0.167 0.500 0.331 [4 per cell]
4 Ge 0.000 0.000 0.500 [2 per cell]

DFT total energy: -68.96 eV/cell
Formation enthalpy at 0 K: -0.159 eV per atom
Magnetization: 1.9 μB per cell

VASP calculation (PBE) on crystalline Cs2Na2Cd3 at its relaxed geometry.

abc: 12.976 5.218 9.947
angles: 90.00 90.71 90.00
Space group C2/m (No. 12)
Asymmetric unit:
1 Cs 0.138 0.000 0.356 [4 per cell]
2 Na 0.151 0.500 0.989 [4 per cell]
3 Cd 0.000 0.000 0.000 [2 per cell]
4 Cd 0.153 0.000 0.781 [4 per cell]

DFT total energy: -14.28 eV/cell
Formation enthalpy at 0 K: -0.007 eV per atom
Magnetization: 0.0 μB per cell

VASP calculation (PBE) on crystalline SrAcGd at its relaxed geometry.

abc: 3.910 3.910 16.760
angles: 90.00 90.00 90.00
Space group I4mm (No. 107)
Asymmetric unit:
1 Sr 0.000 0.000 0.000 [2 per cell]
2 Ac 0.000 0.000 0.684 [2 per cell]
3 Gd 0.000 0.000 0.329 [2 per cell]

DFT total energy: -39.24 eV/cell
Formation enthalpy at 0 K: 0.084 eV per atom
Relative energy among the computed polymorphs: 0 kJ/mol of formula units
Magnetization: 15.0 μB per cell

VASP calculation (PBE) on crystalline Eu3Hg5F12 at its relaxed geometry.

abc: 14.482 14.482 14.482
angles: 90.00 90.00 90.00
Space group Ia-3d (No. 230)
Asymmetric unit:
1 Eu 0.000 0.250 0.125 [24 per cell]
2 Hg 0.000 0.000 0.000 [16 per cell]
3 Hg 0.000 0.250 0.375 [24 per cell]
4 F 0.012 0.086 0.641 [96 per cell]

DFT total energy: -796.81 eV/cell
Magnetization: 154.3 μB per cell
Formation energy (no corrections): -2.24 eV per atom

VASP calculation (PBE) on crystalline Mg2TlCd at its relaxed geometry.

abc: 3.237 5.589 12.021
angles: 90.00 90.00 90.00
Space group Immm (No. 71)
Asymmetric unit:
1 Mg 0.000 0.000 0.246 [4 per cell]
2 Tl 0.000 0.000 0.500 [2 per cell]
3 Cd 0.000 0.000 0.000 [2 per cell]

DFT total energy: -11.72 eV/cell
Formation enthalpy at 0 K: 0.153 eV per atom
Magnetization: 0.0 μB per cell

VASP calculation (PBE) on crystalline KBa2HW at its relaxed geometry.

abc: 6.722 6.722 3.812
angles: 90.00 90.00 90.00
Space group P4/mmm (No. 123)
Asymmetric unit:
1 K 0.000 0.000 0.000 [1 per cell]
2 Ba 0.000 0.500 0.500 [2 per cell]
3 H 0.500 0.500 0.000 [1 per cell]
4 W 0.500 0.500 0.500 [1 per cell]

DFT total energy: -16.14 eV/cell
Magnetization: 1.9 μB per cell